BeFeAgS2, optimized geometry, DFT PBE-GGA; Fermi-level density of states = 0.81 states/eV/atom; DFT total energy = -20.6 eV per cell; ρ = 4966 kg/m3
1.0
-2.421 2.833 2.168
-3.504 -1.601 -1.820
-0.396 -2.818 3.239
S Fe Ag Be
2 1 1 1
Direct
0.500 0.000 0.000
0.000 0.000 0.500
0.000 0.500 0.000
0.500 0.500 0.500
0.000 0.000 0.000

=====

Be2GaAg2, optimized geometry, DFT PBE-GGA; ΔE_f = 0.17 eV/atom; Fermi-level density of states = 0.27 states/eV/atom; ρ = 7286 kg/m3; energy above the lowest structure with this stoichiometry = 0.00 eV per formula unit
1.0
-5.466 -1.280 -2.948
0.320 -6.004 2.014
-1.735 0.862 2.843
Be Ag Ga
4 4 2
Direct
0.369 0.869 0.000
0.631 0.131 0.000
0.869 0.631 0.000
0.131 0.369 0.000
0.340 0.160 0.500
0.840 0.340 0.500
0.660 0.840 0.500
0.160 0.660 0.500
0.500 0.500 0.000
0.000 0.000 0.000

=====

BeGaAg2, optimized geometry, DFT PBE-GGA; ΔE_f = 0.18 eV/atom; Fermi-level density of states = 0.21 states/eV/atom; ρ = 8119 kg/m3; energy above the lowest structure with this stoichiometry = 0.24 eV per formula unit
1.0
1.713 -3.161 -2.536
-0.484 -4.226 1.124
-2.649 -2.612 -2.350
Ag Ga Be
2 1 1
Direct
0.750 0.750 0.750
0.250 0.250 0.250
0.500 0.500 0.500
0.000 0.000 0.000

=====

BeGaAg2, optimized geometry, DFT PBE-GGA; ΔE_f = 0.38 eV/atom; Fermi-level density of states = 0.31 states/eV/atom; ρ = 7393 kg/m3; energy above the lowest structure with this stoichiometry = 1.07 eV per formula unit
1.0
2.838 0.000 0.000
1.419 2.458 0.000
1.419 0.819 9.480
Be Ga Ag
1 1 2
Direct
0.000 0.000 0.000
0.500 0.500 0.500
0.081 0.081 0.756
0.919 0.919 0.244